# U2PaPdSe5 PBE relaxed
data_U2PaPdSe5
_chemical_formula_sum 'U8 Pa4 Pd4 Se20'
_space_group_name_H-M_alt 'C m c 21'
_space_group_IT_number 36
_cell_length_a 3.915
_cell_length_b 17.050
_cell_length_c 12.474
_cell_angle_alpha 90.00
_cell_angle_beta 90.00
_cell_angle_gamma 90.00
loop_
_space_group_symop_operation_xyz
'x,y,z'
'-x,-y,z+1/2'
'-x,y,z'
'x,-y,z+1/2'
'x+1/2,y+1/2,z'
'-x+1/2,-y+1/2,z+1/2'
'-x+1/2,y+1/2,z'
'x+1/2,-y+1/2,z+1/2'
loop_
_atom_site_label
_atom_site_type_symbol
_atom_site_fract_x
_atom_site_fract_y
_atom_site_fract_z
U1 U 0.000 0.105 0.000
U2 U 0.000 0.122 0.346
Pa1 Pa 0.000 0.179 0.668
Pd1 Pd 0.000 0.438 0.067
Se1 Se 0.000 0.011 0.676
Se2 Se 0.000 0.298 0.997
Se3 Se 0.000 0.308 0.337
Se4 Se 0.000 0.346 0.669
Se5 Se 0.000 0.496 0.389
# - Calculated volume: 23.13 A^3/atom
# - ΔE_f (raw): -24.484 kcal/mol of atoms

# B5C7 PBE relaxed
data_B5C7
_chemical_formula_sum 'B5 C7'
_space_group_name_H-M_alt 'P 3 m 1'
_space_group_IT_number 156
_cell_length_a 2.6192
_cell_length_b 2.6192
_cell_length_c 14.8132
_cell_angle_alpha 90.00
_cell_angle_beta 90.00
_cell_angle_gamma 120.00
loop_
_space_group_symop_operation_xyz
'x,y,z'
'-y,x-y,z'
'-x+y,-x,z'
'-y,-x,z'
'-x+y,y,z'
'x,x-y,z'
loop_
_atom_site_label
_atom_site_type_symbol
_atom_site_fract_x
_atom_site_fract_y
_atom_site_fract_z
B1 B 0.0000 0.0000 0.0000
B2 B 0.0000 0.0000 0.3567
B3 B 0.3333 0.6667 0.6210
B4 B 0.6667 0.3333 0.2896
B5 B 0.6667 0.3333 0.8758
C1 C 0.0000 0.0000 0.4649
C2 C 0.0000 0.0000 0.8872
C3 C 0.3333 0.6667 0.0450
C4 C 0.3333 0.6667 0.1464
C5 C 0.3333 0.6667 0.4954
C6 C 0.6667 0.3333 0.1833
C7 C 0.6667 0.3333 0.6318
# - Formation energy: 388 meV per atom
# - Calculated volume: 7.33 A^3/atom

# In2SeS PBE relaxed
data_In2SeS
_chemical_formula_sum 'In8 Se4 S4'
_space_group_name_H-M_alt 'C 1 2/c 1'
_space_group_IT_number 15
_cell_length_a 8.245
_cell_length_b 8.193
_cell_length_c 7.106
_cell_angle_alpha 90.00
_cell_angle_beta 125.45
_cell_angle_gamma 90.00
loop_
_space_group_symop_operation_xyz
'x,y,z'
'-x,-y,-z'
'-x,y,-z+1/2'
'x,-y,z+1/2'
'x+1/2,y+1/2,z'
'-x+1/2,-y+1/2,-z'
'-x+1/2,y+1/2,-z+1/2'
'x+1/2,-y+1/2,z+1/2'
loop_
_atom_site_label
_atom_site_type_symbol
_atom_site_fract_x
_atom_site_fract_y
_atom_site_fract_z
In1 In 0.243 0.125 0.236
Se1 Se 0.000 0.375 0.250
S1 S 0.000 0.125 0.750
# - Calculated volume: 24.44 A^3/atom
# - ΔE_f (raw): -9.440 kcal/mol of atoms

# Ce6In2Sn PBE relaxed
data_Ce6In2Sn
_chemical_formula_sum 'Ce12 In4 Sn2'
_space_group_name_H-M_alt 'I m m m'
_space_group_IT_number 71
_space_group_name_Hall '-I 2 2'
_cell_length_a 3.157
_cell_length_b 8.845
_cell_length_c 16.899
_cell_angle_alpha 90.00
_cell_angle_beta 90.00
_cell_angle_gamma 90.00
loop_
_atom_site_label
_atom_site_type_symbol
_atom_site_fract_x
_atom_site_fract_y
_atom_site_fract_z
Ce1 Ce 0.000 0.155 0.162
Ce2 Ce 0.000 0.343 0.000
In1 In 0.000 0.000 0.341
Sn1 Sn 0.000 0.500 0.500
# - Formation energy: -210 meV per atom
# - Calculated volume: 26.22 A^3/atom

# Ho2AlGa3Au4 PBE relaxed
data_Ho2AlGa3Au4
_chemical_formula_sum 'Ho2 Al1 Ga3 Au4'
_space_group_name_H-M_alt 'P -4 m 2'
_space_group_IT_number 115
_cell_length_a 4.315
_cell_length_b 4.315
_cell_length_c 10.690
_cell_angle_alpha 90.00
_cell_angle_beta 90.00
_cell_angle_gamma 90.00
loop_
_space_group_symop_operation_xyz
'x,y,z'
'y,-x,-z'
'-x,-y,z'
'-y,x,-z'
'-x,y,z'
'-y,-x,-z'
'x,-y,z'
'y,x,-z'
loop_
_atom_site_label
_atom_site_type_symbol
_atom_site_fract_x
_atom_site_fract_y
_atom_site_fract_z
Ho1 Ho 0.000 0.500 0.245
Al1 Al 0.000 0.000 0.500
Ga1 Ga 0.000 0.500 0.864
Ga2 Ga 0.500 0.500 0.500
Au1 Au 0.000 0.000 0.000
Au2 Au 0.000 0.500 0.633
Au3 Au 0.500 0.500 0.000
# - Formation energy: -605 meV per atom
# - Calculated volume: 19.91 A^3/atom

# RbSnTeO5 PBE relaxed
data_RbSnTeO5
_chemical_formula_sum 'Rb4 Sn4 Te4 O20'
_space_group_name_H-M_alt 'C 1 2/c 1'
_space_group_IT_number 15
_cell_length_a 7.610
_cell_length_b 10.208
_cell_length_c 7.700
_cell_angle_alpha 90.00
_cell_angle_beta 113.84
_cell_angle_gamma 90.00
loop_
_space_group_symop_operation_xyz
'x,y,z'
'-x,-y,-z'
'-x,y,-z+1/2'
'x,-y,z+1/2'
'x+1/2,y+1/2,z'
'-x+1/2,-y+1/2,-z'
'-x+1/2,y+1/2,-z+1/2'
'x+1/2,-y+1/2,z+1/2'
loop_
_atom_site_label
_atom_site_type_symbol
_atom_site_fract_x
_atom_site_fract_y
_atom_site_fract_z
Rb1 Rb 0.000 0.167 0.250
Sn1 Sn 0.000 0.500 0.000
Te1 Te 0.000 0.191 0.750
O1 O 0.000 0.440 0.250
O2 O 0.094 0.305 0.606
O3 O 0.203 0.079 0.919
# - Calculated volume: 17.10 A^3/atom
# - ΔE_f (raw): -28.551 kcal/mol of atoms

# LiY2HPd PBE relaxed
data_LiY2HPd
_chemical_formula_sum 'Li1 Y2 H1 Pd1'
_space_group_name_H-M_alt 'P 4/m m m'
_space_group_IT_number 123
_space_group_name_Hall '-P 4 2'
_cell_length_a 5.611
_cell_length_b 5.611
_cell_length_c 3.533
_cell_angle_alpha 90.00
_cell_angle_beta 90.00
_cell_angle_gamma 90.00
loop_
_atom_site_label
_atom_site_type_symbol
_atom_site_fract_x
_atom_site_fract_y
_atom_site_fract_z
Li1 Li 0.000 0.000 0.000
Y1 Y 0.000 0.500 0.500
H1 H 0.500 0.500 0.000
Pd1 Pd 0.500 0.500 0.500
# - Total energy: -23.20 eV per cell
# - Calculated volume: 22.24 A^3/atom

# Cs4Nd3DyTe8 PBE relaxed
data_Cs4Nd3DyTe8
_chemical_formula_sum 'Cs12 Nd9 Dy3 Te24'
_space_group_name_H-M_alt 'R -3 m'
_space_group_IT_number 166
_space_group_name_Hall '-R 3 2"'
_cell_length_a 9.2983
_cell_length_b 9.2983
_cell_length_c 26.8286
_cell_angle_alpha 90.00
_cell_angle_beta 90.00
_cell_angle_gamma 120.00
loop_
_atom_site_label
_atom_site_type_symbol
_atom_site_fract_x
_atom_site_fract_y
_atom_site_fract_z
Cs1 Cs 0.0000 0.0000 0.0000
Cs2 Cs 0.0000 0.5000 0.0000
Nd1 Nd 0.0000 0.5000 0.5000
Dy1 Dy 0.0000 0.0000 0.5000
Te1 Te 0.0000 0.0000 0.2319
Te2 Te 0.0069 0.5034 0.2309
# - Calculated volume: 41.85 A^3/atom
# - ΔE_f (raw): -32.417 kcal/mol of atoms